(1)
Material: AcInGa4
Method: DFT, GGA-PBE
State: optimized geometry

As for the calculated formation energy: -0.220 eV/atom. The raw total energy comes out at -81.10 eV per cell. The calculation puts the volume at 560 Å³/cell.

It has space group F-43m (No. 216), with a = 8.2428 Å, b = 8.2428 Å, c = 8.2428 Å, α = 90.00°, β = 90.00° and γ = 90.00°. The distinct sites, in fractional coordinates, are Ac at (0.0000, 0.0000, 0.0000), In at (0.2500, 0.2500, 0.7500) and Ga at (0.1246, 0.1246, 0.3754).


(2)
Material: Ac12In5Ga3
Method: DFT, GGA-PBE
State: optimized geometry

As for the calculated formation energy: 0.122 eV/atom. The raw total energy comes out at -557.14 eV per cell. The calculation puts the volume at 7101 Å³/cell.

It has space group Ia-3d (No. 230), with a = 19.2205 Å, b = 19.2205 Å, c = 19.2205 Å, α = 90.00°, β = 90.00° and γ = 90.00°. The distinct sites, in fractional coordinates, are Ac at (0.0152, 0.0776, 0.6498), In at (0.0000, 0.0000, 0.0000), In at (0.0000, 0.2500, 0.3750) and Ga at (0.0000, 0.2500, 0.1250).


(3)
Material: Ac12InGa5
Method: DFT, GGA-PBE
State: optimized geometry

As for the calculated formation energy: -0.322 eV/atom. The raw total energy comes out at -145.94 eV per cell. The calculation puts the volume at 1323 Å³/cell.

It has space group Immm (No. 71), with a = 10.6079 Å, b = 10.8432 Å, c = 11.5009 Å, α = 90.00°, β = 90.00° and γ = 90.00°. The distinct sites, in fractional coordinates, are Ac at (0.0000, 0.1917, 0.2398), Ac at (0.1965, 0.5000, 0.1728), Ac at (0.2275, 0.3251, 0.5000), In at (0.0000, 0.0000, 0.5000), Ga at (0.0000, 0.0000, 0.0000), Ga at (0.0000, 0.3482, 0.0000) and Ga at (0.0000, 0.5000, 0.3853).


(4)
Material: Ac5In2Ga
Method: DFT, GGA-PBE
State: optimized geometry

As for the calculated formation energy: -0.344 eV/atom. The raw total energy comes out at -63.59 eV per cell. The calculation puts the volume at 581 Å³/cell.

It has space group Pbam (No. 55), with a = 7.4105 Å, b = 14.1095 Å, c = 5.5529 Å, α = 90.00°, β = 90.00° and γ = 90.00°. The distinct sites, in fractional coordinates, are Ac at (0.0000, 0.0000, 0.0000), Ac at (0.1386, 0.2826, 0.0000), Ac at (0.1583, 0.5933, 0.5000), In at (0.1146, 0.8477, 0.5000) and Ga at (0.0000, 0.5000, 0.0000).


(5)
Material: Ac2InGa5
Method: DFT, GGA-PBE
State: optimized geometry

As for the calculated formation energy: -0.422 eV/atom. The raw total energy comes out at -58.93 eV per cell. The calculation puts the volume at 417 Å³/cell.

It has space group I4mm (No. 107), with a = 6.6904 Å, b = 6.6904 Å, c = 9.3167 Å, α = 90.00°, β = 90.00° and γ = 90.00°. The distinct sites, in fractional coordinates, are Ac at (0.0000, 0.5000, 0.0000), In at (0.0000, 0.0000, 0.2819), Ga at (0.0000, 0.0000, 0.9689) and Ga at (0.1953, 0.1953, 0.7489).


(6)
Material: Ac2In2Ga
Method: DFT, GGA-PBE
State: optimized geometry

As for the calculated formation energy: -0.481 eV/atom. The raw total energy comes out at -76.50 eV per cell. The calculation puts the volume at 625 Å³/cell.

It has space group C2/m (No. 12), with a = 12.3096 Å, b = 4.7677 Å, c = 11.8205 Å, α = 90.00°, β = 115.79° and γ = 90.00°. The distinct sites, in fractional coordinates, are Ac at (0.0063, 0.0000, 0.1674), Ac at (0.1865, 0.0000, 0.6143), In at (0.0324, 0.5000, 0.3898), In at (0.1679, 0.5000, 0.0588) and Ga at (0.1991, 0.5000, 0.8271).


What is the volume in the first record? 560 Å³/cell